Below is an optimized crystal structure of Mn4Fe2Sb3, with properties calculated at the PBE level.

abc: 3.9454 3.9454 18.9480
angles: 90.00 90.00 90.00
Closest atoms and distances in Å follow each position.
Positions (direct):
Mn  0.5000  0.0000  0.9155  4 Fe 2.54, 5 Sb 2.78-2.79
Mn  0.0000  0.5000  0.0845  4 Fe 2.54, 5 Sb 2.78-2.79
Mn  0.0000  0.0000  0.6698  4 Mn 2.66-2.67, 4 Sb 2.71-2.72, 4 Fe 2.79
Mn  0.5000  0.0000  0.5748  2 Fe 2.67, 2 Mn 2.67, 5 Sb 2.77-2.79
Mn  0.0000  0.5000  0.4252  2 Fe 2.67, 2 Mn 2.67, 5 Sb 2.77-2.79
Mn  0.0000  0.5000  0.7641  2 Mn 2.66, 2 Fe 2.66, 5 Sb 2.78-2.79
Mn  0.0000  0.0000  0.3302  4 Mn 2.66-2.67, 4 Sb 2.71-2.72, 4 Fe 2.79
Mn  0.5000  0.0000  0.2359  2 Mn 2.66, 2 Fe 2.66, 5 Sb 2.78-2.79
Sb  0.5000  0.0000  0.0893  4 Fe 2.60, 5 Mn 2.78-2.79
Sb  0.0000  0.5000  0.2310  7 Mn 2.72-2.79, 2 Fe 2.73
Sb  0.5000  0.0000  0.4286  2 Fe 2.71, 7 Mn 2.71-2.79
Sb  0.5000  0.0000  0.7690  7 Mn 2.72-2.79, 2 Fe 2.73
Sb  0.0000  0.5000  0.5714  2 Fe 2.71, 7 Mn 2.71-2.79
Sb  0.0000  0.5000  0.9107  4 Fe 2.60, 5 Mn 2.78-2.79
Fe  0.5000  0.5000  0.0000  4 Mn 2.54, 4 Sb 2.60, 4 Fe 2.79
Fe  0.5000  0.5000  0.3302  8 Mn 2.66-2.79, 4 Sb 2.71-2.73
Fe  0.0000  0.0000  0.0000  4 Mn 2.54, 4 Sb 2.60, 4 Fe 2.79
Fe  0.5000  0.5000  0.6698  8 Mn 2.66-2.79, 4 Sb 2.71-2.73

The crystal system is tetragonal. As for the formation energy from raw total energies: 0.43 eV/f.u.

Below is an optimized crystal structure of CaAl4Sn, with properties calculated at the PBE level.

abc: 5.6232 5.6232 5.6232
angles: 60.00 60.00 60.00
Closest atoms and distances in Å follow each position.
Positions (direct):
Sn  0.0000  0.0000  0.0000  12 Al 3.30, 4 Ca 3.44
Al  0.6246  0.6246  0.6246  6 Al 2.80-2.82
Al  0.6246  0.1263  0.6246  6 Al 2.80-2.82
Al  0.1263  0.6246  0.6246  6 Al 2.80-2.82
Al  0.6246  0.6246  0.1263  6 Al 2.80-2.82
Ca  0.2500  0.2500  0.2500  12 Al 3.30, 4 Sn 3.44

The crystal system is cubic. For the formation energy from the elements, the calculation gives -0.0977 eV/atom.

Below is an optimized crystal structure of Sb2Mo6P, with properties calculated at the PBE level.

abc: 7.3029 7.3029 3.2215
angles: 90.00 90.00 120.00
Closest atoms and distances in Å follow each position.
Positions (direct):
Mo  0.0000  0.3795  0.5000  1 P 2.77, 4 Sb 2.80, 4 Mo 2.92
Mo  0.7516  0.0000  0.0000  2 P 2.43
Mo  0.0000  0.7516  0.0000  2 P 2.43
Mo  0.3795  0.0000  0.5000  1 P 2.77, 4 Sb 2.80, 4 Mo 2.92
Mo  0.2484  0.2484  0.0000  2 P 2.43
Mo  0.6205  0.6205  0.5000  1 P 2.77, 4 Sb 2.80, 4 Mo 2.92
Sb  0.3333  0.6667  0.0000  9 Mo 2.80
Sb  0.6667  0.3333  0.0000  9 Mo 2.80
P  0.0000  0.0000  0.5000  6 Mo 2.43

The crystal system is hexagonal. As for the formation energy from raw total energies: 0.89 eV/f.u.

| no. | calculated volume (A^3/atom) | density (g cm⁻³) | DFT total energy (eV per atom) |
| --- | --- | --- | --- |
| 1 | 16.386 | 7.84 | -7.28 |
| 2 | 20.955 | 3.52 | -3.59 |
| 3 | 16.532 | 9.49 | -8.64 |